1.
This record from Alexandria describes a geometry-optimized Y2CrCo structure. The functional is PBE.

- Calculated formation energy: 485 meV/atom
- V: 355.5 Å³ per cell

```
data_Y2CrCo
_chemical_formula_sum 'Y8 Cr4 Co4'
_cell_length_a 7.617
_cell_length_b 7.617
_cell_length_c 6.127
_cell_angle_alpha 90.00
_cell_angle_beta 90.00
_cell_angle_gamma 90.00
_symmetry_space_group_name_H-M 'I -4 2 d'
_symmetry_Int_Tables_number 122
_symmetry_space_group_name_Hall 'I -4 2bw'
loop_
_atom_site_label
_atom_site_fract_x
_atom_site_fract_y
_atom_site_fract_z
Y1 0.205 0.750 0.125
Cr1 0.000 0.000 0.500
Co1 0.000 0.000 0.000
```



2.
This record from Alexandria describes a geometry-optimized YCr2Co2 structure. The functional is PBE.

- Calculated formation energy: 361 meV/atom
- V: 142.4 Å³ per cell

```
data_YCr2Co2
_chemical_formula_sum 'Y2 Cr4 Co4'
_cell_length_a 7.210
_cell_length_b 7.210
_cell_length_c 2.739
_cell_angle_alpha 90.00
_cell_angle_beta 90.00
_cell_angle_gamma 90.00
_symmetry_space_group_name_H-M 'P 4/m b m'
_symmetry_Int_Tables_number 127
_symmetry_space_group_name_Hall '-P 4 2ab'
loop_
_atom_site_label
_atom_site_fract_x
_atom_site_fract_y
_atom_site_fract_z
Y1 0.000 0.000 0.000
Cr1 0.159 0.341 0.500
Co1 0.123 0.623 0.000
```



3.
This record from Alexandria describes a geometry-optimized Y2CrCo structure. The functional is PBE.

- Calculated formation energy: 170 meV/atom
- V: 82.5 Å³ per cell

```
data_Y2CrCo
_chemical_formula_sum 'Y2 Cr1 Co1'
_cell_length_a 4.864
_cell_length_b 4.864
_cell_length_c 3.487
_cell_angle_alpha 90.00
_cell_angle_beta 90.00
_cell_angle_gamma 90.00
_symmetry_space_group_name_H-M 'P 4/m m m'
_symmetry_Int_Tables_number 123
_symmetry_space_group_name_Hall '-P 4 2'
loop_
_atom_site_label
_atom_site_fract_x
_atom_site_fract_y
_atom_site_fract_z
Y1 0.000 0.500 0.000
Cr1 0.000 0.000 0.500
Co1 0.500 0.500 0.500
```



4.
This record from Alexandria describes a geometry-optimized Y2CrCo structure. The functional is PBE.

- Calculated formation energy: 412 meV/atom
- V: 288.0 Å³ per cell

```
data_Y2CrCo
_chemical_formula_sum 'Y6 Cr3 Co3'
_cell_length_a 3.6986
_cell_length_b 3.6986
_cell_length_c 24.3097
_cell_angle_alpha 90.00
_cell_angle_beta 90.00
_cell_angle_gamma 120.00
_symmetry_space_group_name_H-M 'R -3 m'
_symmetry_Int_Tables_number 166
_symmetry_space_group_name_Hall '-R 3 2"'
loop_
_atom_site_label
_atom_site_fract_x
_atom_site_fract_y
_atom_site_fract_z
Y1 0.0000 0.0000 0.2326
Cr1 0.0000 0.0000 0.0000
Co1 0.0000 0.0000 0.5000
```



5.
This record from Alexandria describes a geometry-optimized ZnCr2Co structure. The functional is PBE.

- Calculated formation energy: 198 meV/atom
- V: 143.5 Å³ per cell

```
data_ZnCr2Co
_chemical_formula_sum 'Zn3 Cr6 Co3'
_cell_length_a 2.5413
_cell_length_b 2.5413
_cell_length_c 25.6648
_cell_angle_alpha 90.00
_cell_angle_beta 90.00
_cell_angle_gamma 120.00
_symmetry_space_group_name_H-M 'R 3 m'
_symmetry_Int_Tables_number 160
_symmetry_space_group_name_Hall 'R 3 -2"'
loop_
_atom_site_label
_atom_site_fract_x
_atom_site_fract_y
_atom_site_fract_z
Zn1 0.0000 0.0000 0.0000
Cr1 0.0000 0.0000 0.2448
Cr2 0.0000 0.0000 0.4936
Co1 0.0000 0.0000 0.7509
```



6.
This record from Alexandria describes a geometry-optimized ZnCrCo2 structure. The functional is PBE.

- Calculated formation energy: 135 meV/atom
- V: 46.3 Å³ per cell

```
data_ZnCrCo2
_chemical_formula_sum 'Zn1 Cr1 Co2'
_cell_length_a 4.038
_cell_length_b 4.038
_cell_length_c 2.838
_cell_angle_alpha 90.00
_cell_angle_beta 90.00
_cell_angle_gamma 90.00
_symmetry_space_group_name_H-M 'P 4/m m m'
_symmetry_Int_Tables_number 123
_symmetry_space_group_name_Hall '-P 4 2'
loop_
_atom_site_label
_atom_site_fract_x
_atom_site_fract_y
_atom_site_fract_z
Zn1 0.000 0.000 0.000
Cr1 0.500 0.500 0.000
Co1 0.000 0.500 0.500
```



What did the sixth record say?
This record from Alexandria describes a geometry-optimized ZnCrCo2 structure. The functional is PBE.

- Calculated formation energy: 135 meV/atom
- V: 46.3 Å³ per cell

```
data_ZnCrCo2
_chemical_formula_sum 'Zn1 Cr1 Co2'
_cell_length_a 4.038
_cell_length_b 4.038
_cell_length_c 2.838
_cell_angle_alpha 90.00
_cell_angle_beta 90.00
_cell_angle_gamma 90.00
_symmetry_space_group_name_H-M 'P 4/m m m'
_symmetry_Int_Tables_number 123
_symmetry_space_group_name_Hall '-P 4 2'
loop_
_atom_site_label
_atom_site_fract_x
_atom_site_fract_y
_atom_site_fract_z
Zn1 0.000 0.000 0.000
Cr1 0.500 0.500 0.000
Co1 0.000 0.500 0.500
```



- What is the formula in the second record?
  YCr2Co2



- Which value of calculated formation energy does entry 5 give?
  198 meV/atom



- What is the V in the second record?
  142.4 Å³ per cell